Entry 1:
VASP calculation (PBE) on an optimized crystal structure of NaSmSbPd.

Cell: 5.1366 5.1366 5.1366 Å, 60.00 60.00 60.00°
Positions (direct):
Na1 0.0000 0.0000 0.0000
Sb1 0.2500 0.2500 0.2500
Sm1 0.5000 0.5000 0.5000
Pd1 0.7500 0.7500 0.7500

For the magnetization, the calculation gives 0.0 μB/f.u. Its crystal system is cubic. As for the symmetry: F-43m, No. 216. The value obtained for the uncorrected energy is -4.4303 eV/atom. As for the density of states at the Fermi level: 0.216 states/eV/atom. The uncorrected formation energy comes out at -0.592 eV/atom.

***

Entry 2:
VASP calculation (PBE) on an optimized crystal structure of La2BiO.

Cell: 5.2834 5.2834 5.2834 Å, 60.00 60.00 60.00°
Positions (direct):
Bi1 0.5000 0.5000 0.5000
O1 0.0000 0.0000 0.0000
La1 0.7500 0.7500 0.7500
La2 0.2500 0.2500 0.2500

The relative energy among the computed polymorphs comes out at 3.139 eV/f.u. For the magnetization, the calculation gives 0.0 μB/f.u. Its crystal system is cubic. As for the symmetry: Fm-3m, No. 225. The value obtained for the uncorrected energy is -5.7114 eV/atom. As for the density of states at the Fermi level: 0.581 states/eV/atom. The uncorrected formation energy comes out at -1.038 eV/atom.

***

Entry 3:
VASP calculation (PBE) on an optimized crystal structure of Ba2AlGa4Hg3.

Cell: 4.7166 4.7166 11.4710 Å, 90.00 90.00 90.00°
Positions (direct):
Ba1 0.5000 0.0000 0.2529
Ba2 0.0000 0.5000 0.7471
Hg1 0.0000 0.0000 0.5000
Ga1 0.0000 0.0000 0.0000
Ga2 0.5000 0.0000 0.6268
Ga3 0.0000 0.5000 0.3732
Hg2 0.5000 0.0000 0.8662
Al1 0.5000 0.5000 0.5000
Hg3 0.0000 0.5000 0.1338
Ga4 0.5000 0.5000 0.0000

For the magnetization, the calculation gives 0.0 μB/f.u. Its crystal system is tetragonal. As for the symmetry: P-4m2, No. 115. The value obtained for the uncorrected energy is -2.4131 eV/atom. For the energy relative to the elements, the calculation gives -0.3531 eV/atom. As for the density of states at the Fermi level: 0.440 states/eV/atom.

***

Entry 4:
VASP calculation (PBE) on an optimized crystal structure of Ta4SiTe.

Cell: 5.5146 5.5146 5.5146 Å, 60.00 60.00 60.00°
Positions (direct):
Ta1 0.3741 0.3741 0.3741
Si1 0.0000 0.0000 0.0000
Te1 0.7500 0.7500 0.7500
Ta2 0.8777 0.3741 0.3741
Ta3 0.3741 0.3741 0.8777
Ta4 0.3741 0.8777 0.3741

For the magnetization, the calculation gives 0.0 μB/f.u. Its crystal system is cubic. As for the symmetry: F-43m, No. 216. The value obtained for the uncorrected energy is -8.7477 eV/atom. As for the density of states at the Fermi level: 1.011 states/eV/atom. The uncorrected formation energy comes out at 0.581 eV/atom.

***

Which formula does entry 4 have?
Ta4SiTe